# 1
The following is a PBE calculation of an optimized crystal structure of RbH5, from Alexandria.

Properties
Polymorph energy (0 for the lowest one), meV per atom: 677.0

Unit cell a=5.4423 b=5.4423 c=4.7428 alpha=90.00 beta=90.00 gamma=151.95
Fractional coordinates of all 6 atoms:
Rb (0.0000, 0.0000, 0.0000)
H (0.2521, 0.7479, 0.0000)
H (0.2520, 0.7480, 0.5000)
H (0.5000, 0.5000, 0.5000)
H (0.7479, 0.2521, 0.0000)
H (0.7480, 0.2520, 0.5000)


# 2
The following is a PBE calculation of an optimized crystal structure of CeTmHg2, from Alexandria.

Properties
Polymorph energy (0 for the lowest one), meV per atom: 23.1
ΔE_f, meV/atom: -367

Unit cell a=5.3171 b=5.3171 c=5.3171 alpha=60.00 beta=60.00 gamma=60.00
Fractional coordinates of all 4 atoms:
Ce (0.0000, 0.0000, 0.0000)
Tm (0.5000, 0.5000, 0.5000)
Hg (0.2500, 0.2500, 0.2500)
Hg (0.7500, 0.7500, 0.7500)